First-principles (PBE) data for a relaxed structure of TaTl2Cr, as listed in Alexandria.

Structure (extended XYZ):
```
4
Lattice="9.801 -0.004 -0.002 9.279 3.156 -0.002 9.279 1.533 2.759" Properties=species:S:1:pos:R:3 pbc="T T T"
Tl 21.614 3.571 2.099
Tl 28.158 4.652 2.735
Ta 6.650 1.099 0.646
Cr 14.474 2.391 1.406
```

Results
Electronic total energy in eV per cell: -24.2
Relative energy among the computed polymorphs in eV/f.u.: 0.071
Energy of formation in meV/atom: 509
DOS(E_F) in states/eV/cell: 3.22